## Rb2Tb2S3O (PBE-GGA)

Data for an optimized crystal structure of Rb2Tb2S3O.

Unit cell a=3.9132 b=3.9132 c=14.9292 alpha=90.00 beta=90.00 gamma=120.00
Atoms (fractional coordinates):
Rb  0.0000  0.0000  0.0000
Rb  0.3333  0.6667  0.4736
Tb  0.6667  0.3333  0.2615
Tb  0.6667  0.3333  0.7349
S  0.0000  0.0000  0.6294
S  0.3333  0.6667  0.1552
S  0.3333  0.6667  0.8372
O  0.0000  0.0000  0.3271

Crystal system   trigonal
Spin magnetization   0.00 μB per cell
Raw total energy   -5.55 eV/atom

---

## KZrHg (PBE-GGA)

Data for an optimized crystal structure of KZrHg.

Unit cell a=7.2859 b=7.2859 c=7.2859 alpha=90.00 beta=90.00 gamma=90.00
Atoms (fractional coordinates):
K  0.0000  0.0000  0.0000
K  0.0000  0.5000  0.5000
K  0.5000  0.0000  0.5000
K  0.5000  0.5000  0.0000
Zr  0.0000  0.0000  0.5000
Zr  0.0000  0.5000  0.0000
Zr  0.5000  0.0000  0.0000
Zr  0.5000  0.5000  0.5000
Hg  0.2500  0.2500  0.2500
Hg  0.2500  0.7500  0.7500
Hg  0.7500  0.2500  0.7500
Hg  0.7500  0.7500  0.2500

Crystal system   cubic
Spin magnetization   0.05 μB per cell
Raw total energy   -2.49 eV/atom

---

## Dy2In2O5 (PBE-GGA)

Data for an optimized crystal structure of Dy2In2O5.

Unit cell a=4.0684 b=4.0684 c=8.5379 alpha=90.00 beta=90.00 gamma=90.00
Atoms (fractional coordinates):
Dy  0.0000  0.0000  0.2453
Dy  0.0000  0.0000  0.7547
In  0.5000  0.5000  0.0000
In  0.5000  0.5000  0.5000
O  0.0000  0.0000  0.5000
O  0.0000  0.5000  0.1542
O  0.0000  0.5000  0.8458
O  0.5000  0.0000  0.1542
O  0.5000  0.0000  0.8458

Crystal system   tetragonal
Spin magnetization   0.00 μB per cell
Raw total energy   -6.62 eV/atom

---

## Ta2FeB (PBE-GGA)

Data for an optimized crystal structure of Ta2FeB.

Unit cell a=3.1180 b=3.1180 c=13.0024 alpha=90.00 beta=90.00 gamma=120.00
Atoms (fractional coordinates):
Ta  0.3333  0.6667  0.1043
Ta  0.3333  0.6667  0.3957
Ta  0.6667  0.3333  0.6043
Ta  0.6667  0.3333  0.8957
Fe  0.3333  0.6667  0.7500
Fe  0.6667  0.3333  0.2500
B  0.0000  0.0000  0.0000
B  0.0000  0.0000  0.5000

Crystal system   hexagonal
Spin magnetization   2.02 μB per cell
Raw total energy   -9.83 eV/atom

---

## AcOsNO (PBE-GGA)

Data for an optimized crystal structure of AcOsNO.

Unit cell a=3.8093 b=5.9556 c=5.4537 alpha=90.00 beta=90.00 gamma=90.00
Atoms (fractional coordinates):
Ac  0.0000  0.2014  0.0000
Ac  0.0000  0.7986  0.5000
Os  0.5000  0.3494  0.5014
Os  0.5000  0.6506  0.0014
N  0.0000  0.3436  0.4923
N  0.0000  0.6564  0.9923
O  0.5000  0.0654  0.7291
O  0.5000  0.9346  0.2291

Crystal system   orthorhombic
Spin magnetization   0.00 μB per cell
Raw total energy   -8.29 eV/atom

---

## Pr3Mg2CuHgPt2 (PBE-GGA)

Data for an optimized crystal structure of Pr3Mg2CuHgPt2.

Unit cell a=4.0744 b=7.6935 c=7.6935 alpha=119.91 beta=90.00 gamma=90.00
Atoms (fractional coordinates):
Pr  0.0000  0.0000  0.0000
Pr  0.0000  0.1602  0.5647
Pr  0.0000  0.5647  0.1602
Mg  0.5000  0.5757  0.8187
Mg  0.5000  0.8187  0.5757
Cu  0.0000  0.5921  0.5921
Hg  0.5000  0.3431  0.3431
Pt  0.5000  0.2343  0.8898
Pt  0.5000  0.8898  0.2343

Crystal system   orthorhombic
Spin magnetization   0.01 μB per cell
Raw total energy   -4.42 eV/atom

---

## Ba4HgO (PBE-GGA)

Data for an optimized crystal structure of Ba4HgO.

Unit cell a=3.7546 b=3.7546 c=15.6038 alpha=90.00 beta=90.00 gamma=90.00
Atoms (fractional coordinates):
Ba  0.0000  0.0000  0.1038
Ba  0.0000  0.0000  0.8962
Ba  0.5000  0.5000  0.3539
Ba  0.5000  0.5000  0.6461
Hg  0.0000  0.0000  0.5000
O  0.5000  0.5000  0.0000

Crystal system   tetragonal
Raw total energy   -2.81 eV/atom

---

## Lu2Mo4P3C3 (PBE-GGA)

Data for an optimized crystal structure of Lu2Mo4P3C3.

Unit cell a=5.6862 b=5.6862 c=12.3337 alpha=102.68 beta=102.68 gamma=60.45
Atoms (fractional coordinates):
Lu  0.0360  0.8737  0.6136
Lu  0.1263  0.9640  0.8864
Lu  0.8737  0.0360  0.1136
Lu  0.9640  0.1263  0.3864
Mo  0.2016  0.3500  0.0884
Mo  0.2984  0.4837  0.4107
Mo  0.3500  0.2016  0.5884
Mo  0.4837  0.2984  0.9107
Mo  0.5163  0.7016  0.0893
Mo  0.6500  0.7984  0.4116
Mo  0.7016  0.5163  0.5893
Mo  0.7984  0.6500  0.9116
P  0.0768  0.2915  0.7467
P  0.2915  0.0768  0.2467
P  0.4526  0.5474  0.7500
P  0.5474  0.4526  0.2500
P  0.7085  0.9232  0.7533
P  0.9232  0.7085  0.2533
C  0.0000  0.5000  0.5000
C  0.1699  0.6566  0.9992
C  0.3434  0.8301  0.5008
C  0.5000  0.0000  0.0000
C  0.6566  0.1699  0.4992
C  0.8301  0.3434  0.0008

Crystal system   monoclinic
Spin magnetization   0.00 μB per cell
Raw total energy   -8.49 eV/atom

---

## GdErNO (PBE-GGA)

Data for an optimized crystal structure of GdErNO.

Unit cell a=3.9686 b=6.8765 c=4.8859 alpha=90.00 beta=90.00 gamma=90.00
Atoms (fractional coordinates):
Gd  0.0000  0.1642  0.0000
Gd  0.0000  0.8358  0.5000
Er  0.5000  0.3315  0.5002
Er  0.5000  0.6685  0.0002
N  0.0000  0.1724  0.4992
N  0.0000  0.8276  0.9992
O  0.5000  0.3394  0.0017
O  0.5000  0.6606  0.5017

Crystal system   orthorhombic
Spin magnetization   0.01 μB per cell
Raw total energy   -7.83 eV/atom

---

## RbNbAgSeS2 (PBE-GGA)

Data for an optimized crystal structure of RbNbAgSeS2.

Unit cell a=8.0713 b=8.0713 c=10.2031 alpha=90.00 beta=90.00 gamma=153.60
Atoms (fractional coordinates):
Rb  0.2442  0.7558  0.7500
Rb  0.7558  0.2442  0.2500
Nb  0.0000  0.0000  0.0000
Nb  0.0000  0.0000  0.5000
Ag  0.4526  0.5474  0.2500
Ag  0.5474  0.4526  0.7500
Se  0.0719  0.9281  0.2500
Se  0.9281  0.0719  0.7500
S  0.3894  0.6106  0.0327
S  0.3894  0.6106  0.4673
S  0.6106  0.3894  0.5327
S  0.6106  0.3894  0.9673

Crystal system   orthorhombic
Spin magnetization   1.15 μB per cell
Raw total energy   -4.96 eV/atom

---

## TcN2 (PBE-GGA)

Data for an optimized crystal structure of TcN2.

Unit cell a=5.4219 b=5.5667 c=6.1871 alpha=106.15 beta=101.57 gamma=115.23
Atoms (fractional coordinates):
Tc  0.1527  0.2094  0.4123
Tc  0.2621  0.3191  0.0405
Tc  0.7379  0.6809  0.9595
Tc  0.8473  0.7906  0.5877
N  0.0205  0.8105  0.3296
N  0.0851  0.8135  0.8600
N  0.4353  0.6917  0.1161
N  0.4871  0.6470  0.6564
N  0.5129  0.3530  0.3436
N  0.5647  0.3083  0.8839
N  0.9149  0.1865  0.1400
N  0.9795  0.1895  0.6704

Crystal system   triclinic
Spin magnetization   0.00 μB per cell
Raw total energy   -8.36 eV/atom

---

## AlReAsO (PBE-GGA)

Data for an optimized crystal structure of AlReAsO.

Unit cell a=3.4244 b=3.4244 c=9.9172 alpha=90.00 beta=90.00 gamma=90.00
Atoms (fractional coordinates):
Al  0.2500  0.7500  0.0000
Al  0.7500  0.2500  0.0000
Re  0.2500  0.2500  0.3730
Re  0.7500  0.7500  0.6270
As  0.2500  0.2500  0.7587
As  0.7500  0.7500  0.2413
O  0.2500  0.7500  0.5000
O  0.7500  0.2500  0.5000

Crystal system   tetragonal
Spin magnetization   0.00 μB per cell
Raw total energy   -6.30 eV/atom

---

## Er2CoGe4Pt (PBE-GGA)

Data for an optimized crystal structure of Er2CoGe4Pt.

Unit cell a=4.2734 b=4.0722 c=17.0744 alpha=90.00 beta=90.00 gamma=90.00
Atoms (fractional coordinates):
Er  0.0000  0.0000  0.0000
Er  0.0000  0.5000  0.5000
Er  0.5000  0.0000  0.2117
Er  0.5000  0.5000  0.7117
Co  0.5000  0.0000  0.4290
Co  0.5000  0.5000  0.9290
Ge  0.0000  0.0000  0.3685
Ge  0.0000  0.0000  0.6379
Ge  0.0000  0.5000  0.1379
Ge  0.0000  0.5000  0.8685
Ge  0.5000  0.0000  0.5621
Ge  0.5000  0.0000  0.8616
Ge  0.5000  0.5000  0.0621
Ge  0.5000  0.5000  0.3616
Pt  0.0000  0.0000  0.7794
Pt  0.0000  0.5000  0.2794

Crystal system   orthorhombic
Spin magnetization   0.00 μB per cell
Raw total energy   -5.79 eV/atom

---

## LuInReNi (PBE-GGA)

Data for an optimized crystal structure of LuInReNi.

Unit cell a=6.5998 b=6.5998 c=6.5998 alpha=90.00 beta=90.00 gamma=90.00
Atoms (fractional coordinates):
Lu  0.0000  0.0000  0.0000
Lu  0.0000  0.5000  0.5000
Lu  0.5000  0.0000  0.5000
Lu  0.5000  0.5000  0.0000
In  0.2500  0.2500  0.2500
In  0.2500  0.7500  0.7500
In  0.7500  0.2500  0.7500
In  0.7500  0.7500  0.2500
Re  0.2500  0.2500  0.7500
Re  0.2500  0.7500  0.2500
Re  0.7500  0.2500  0.2500
Re  0.7500  0.7500  0.7500
Ni  0.0000  0.0000  0.5000
Ni  0.0000  0.5000  0.0000
Ni  0.5000  0.0000  0.0000
Ni  0.5000  0.5000  0.5000

Crystal system   cubic
Spin magnetization   5.68 μB per cell
Raw total energy   -5.85 eV/atom

---

## LiAg3GeSe4 (PBE-GGA)

Data for an optimized crystal structure of LiAg3GeSe4.

Unit cell a=6.2521 b=8.3769 c=8.6639 alpha=90.00 beta=90.35 gamma=90.00
Atoms (fractional coordinates):
Li  0.2368  0.2500  0.2247
Li  0.7632  0.7500  0.7753
Ag  0.2312  0.0155  0.5003
Ag  0.2312  0.4845  0.5003
Ag  0.3921  0.2500  0.7315
Ag  0.6079  0.7500  0.2685
Ag  0.7688  0.5155  0.4997
Ag  0.7688  0.9845  0.4997
Ge  0.1984  0.7500  0.1821
Ge  0.8016  0.2500  0.8179
Se  0.0055  0.0177  0.7705
Se  0.0055  0.4823  0.7705
Se  0.4462  0.7500  0.9883
Se  0.4762  0.7500  0.5599
Se  0.5238  0.2500  0.4401
Se  0.5538  0.2500  0.0117
Se  0.9945  0.5177  0.2295
Se  0.9945  0.9823  0.2295

Crystal system   monoclinic
Raw total energy   -3.46 eV/atom

---

## LiAlAg2 (PBE-GGA)

Data for an optimized crystal structure of LiAlAg2.

Unit cell a=4.4755 b=4.4858 c=6.3505 alpha=90.00 beta=90.00 gamma=90.00
Atoms (fractional coordinates):
Li  0.0000  0.0000  0.0000
Li  0.5000  0.5000  0.5000
Al  0.0000  0.0000  0.5000
Al  0.5000  0.5000  0.0000
Ag  0.0000  0.5000  0.2508
Ag  0.0000  0.5000  0.7492
Ag  0.5000  0.0000  0.2492
Ag  0.5000  0.0000  0.7508

Crystal system   orthorhombic
Raw total energy   -3.08 eV/atom

---

## Pr2Dy2CI4Cl (PBE-GGA)

Data for an optimized crystal structure of Pr2Dy2CI4Cl.

Unit cell a=9.9844 b=9.9844 c=8.3706 alpha=101.39 beta=101.39 gamma=23.08
Atoms (fractional coordinates):
Pr  0.0015  0.0015  0.2882
Pr  0.9985  0.9985  0.7118
Dy  0.3741  0.3741  0.4363
Dy  0.6259  0.6259  0.5637
C  0.5000  0.5000  0.5000
I  0.1648  0.1648  0.8434
I  0.1707  0.1707  0.3246
I  0.8293  0.8293  0.6754
I  0.8352  0.8352  0.1566
Cl  0.5000  0.5000  0.0000

Crystal system   monoclinic
Spin magnetization   0.05 μB per cell
Raw total energy   -4.81 eV/atom

---

## Gd3CuSnS7 (PBE-GGA)

Data for an optimized crystal structure of Gd3CuSnS7.

Unit cell a=9.8533 b=9.8533 c=6.1793 alpha=90.00 beta=90.00 gamma=120.00
Atoms (fractional coordinates):
Gd  0.1444  0.3589  0.0000
Gd  0.2145  0.8556  0.0000
Gd  0.3589  0.2145  0.5000
Gd  0.6411  0.7855  0.0000
Gd  0.7855  0.1444  0.5000
Gd  0.8556  0.6411  0.5000
Cu  0.0000  0.0000  0.0972
Cu  0.0000  0.0000  0.5972
Sn  0.3333  0.6667  0.4326
Sn  0.6667  0.3333  0.9326
S  0.0832  0.5667  0.2523
S  0.1099  0.2604  0.5693
S  0.1505  0.8901  0.5693
S  0.2604  0.1505  0.0693
S  0.3333  0.6667  0.8186
S  0.4333  0.5164  0.2523
S  0.4836  0.9168  0.2523
S  0.5164  0.0832  0.7523
S  0.5667  0.4836  0.7523
S  0.6667  0.3333  0.3186
S  0.7396  0.8495  0.5693
S  0.8495  0.1099  0.0693
S  0.8901  0.7396  0.0693
S  0.9168  0.4333  0.7523

Crystal system   hexagonal
Spin magnetization   0.01 μB per cell
Raw total energy   -5.65 eV/atom

---

## SrPAuO (PBE-GGA)

Data for an optimized crystal structure of SrPAuO.

Unit cell a=4.8524 b=4.2608 c=7.3351 alpha=90.00 beta=90.00 gamma=90.00
Atoms (fractional coordinates):
Sr  0.0000  0.2443  0.0000
Sr  0.0000  0.7557  0.5000
P  0.5000  0.2470  0.6684
P  0.5000  0.7530  0.1684
Au  0.5000  0.2553  0.3341
Au  0.5000  0.7447  0.8341
O  0.0000  0.2549  0.3343
O  0.0000  0.7451  0.8343

Crystal system   orthorhombic
Raw total energy   -4.76 eV/atom

---

## Zr4Ag3 (PBE-GGA)

Data for an optimized crystal structure of Zr4Ag3.

Unit cell a=8.1515 b=8.1515 c=4.9206 alpha=90.00 beta=90.00 gamma=120.00
Atoms (fractional coordinates):
Zr  0.0352  0.2393  0.2500
Zr  0.2041  0.9648  0.2500
Zr  0.2393  0.2041  0.7500
Zr  0.3333  0.6667  0.2500
Zr  0.6667  0.3333  0.7500
Zr  0.7607  0.7959  0.2500
Zr  0.7959  0.0352  0.7500
Zr  0.9648  0.7607  0.7500
Ag  0.0939  0.4848  0.7500
Ag  0.3909  0.9061  0.7500
Ag  0.4848  0.3909  0.2500
Ag  0.5152  0.6091  0.7500
Ag  0.6091  0.0939  0.2500
Ag  0.9061  0.5152  0.2500

E_form   67 meV per atom
Crystal system   hexagonal
Spin magnetization   0.08 μB per cell